BeVF3 | Alexandria via LeMat-Bulk | PBE+U | optimized geometry; offset from the most stable computed form = 232 meV/atom; total energy = -0.179 Ha/atom; space-group type = No. 221; M_tot = 0.70 μB/atom
1.0
4.113 0.000 0.000
0.000 4.113 0.000
0.000 0.000 4.113
Be V F
1 1 3
Cartesian
0.000 0.000 0.000
2.056 2.056 2.056
0.000 2.056 2.056
2.056 0.000 2.056
2.056 2.056 0.000